--- A ---
This record from Alexandria describes crystalline Ca2AgGe2 at its relaxed geometry. The functional is PBE-GGA.

Geometry as extended XYZ:
```
5
Lattice="-2.9454 2.9454 3.8836 2.9454 -2.9454 3.8836 2.9454 2.9454 -3.8836" Properties=species:S:1:pos:R:3 pbc="T T T"
Ca 2.9454 0.0000 1.9418
Ca 0.0000 2.9454 1.9418
Ag 0.0000 0.0000 0.0000
Ge 0.0000 0.0000 2.6434
Ge 0.0000 0.0000 5.1239
```

--- B ---
This record from Alexandria describes crystalline Ca2AgGe2 at its relaxed geometry. The functional is PBE-GGA.

Geometry as extended XYZ:
```
10
Lattice="7.2223 0.0000 0.0000 0.0000 7.2223 0.0000 0.0000 0.0000 4.4906" Properties=species:S:1:pos:R:3 pbc="T T T"
Ca 1.2310 2.3802 0.0000
Ca 2.3802 5.9913 0.0000
Ca 4.8421 1.2310 0.0000
Ca 5.9913 4.8421 0.0000
Ag 0.0000 0.0000 2.2453
Ag 3.6111 3.6111 2.2453
Ge 0.9306 4.5417 2.2453
Ge 2.6806 0.9306 2.2453
Ge 4.5417 6.2917 2.2453
Ge 6.2917 2.6806 2.2453
```

--- C ---
This record from Alexandria describes crystalline Ca2AgGe2 at its relaxed geometry. The functional is PBE-GGA.

Geometry as extended XYZ:
```
10
Lattice="8.8426 0.0000 0.0000 0.0000 8.8426 0.0000 0.0000 0.0000 3.1543" Properties=species:S:1:pos:R:3 pbc="T T T"
Ca 1.1392 3.2821 0.0000
Ca 3.2821 7.7034 0.0000
Ca 5.5605 1.1392 0.0000
Ca 7.7034 5.5605 0.0000
Ag 0.0000 0.0000 0.0000
Ag 4.4213 4.4213 0.0000
Ge 1.5476 5.9688 1.5772
Ge 2.8737 1.5476 1.5772
Ge 5.9688 7.2950 1.5772
Ge 7.2950 2.8737 1.5772
```

What are the relative energies? In meV/atom: A 323; B 0; C 392.

--- A ---
This record from Alexandria describes crystalline LiCaAgGe at its relaxed geometry. The functional is PBE-GGA.

Geometry as extended XYZ:
```
4
Lattice="0.0000 3.3711 3.3711 3.3711 0.0000 3.3711 3.3711 3.3711 0.0000" Properties=species:S:1:pos:R:3 pbc="T T T"
Li 0.0000 0.0000 0.0000
Ca 5.0566 5.0566 5.0566
Ag 3.3711 3.3711 3.3711
Ge 1.6855 1.6855 1.6855
```

--- B ---
This record from Alexandria describes crystalline LiCaAgGe at its relaxed geometry. The functional is PBE-GGA.

Geometry as extended XYZ:
```
4
Lattice="3.9622 -2.2906 0.0000 3.9622 2.2906 0.0000 -2.6544 0.0000 4.7269" Properties=species:S:1:pos:R:3 pbc="T T T"
Li 0.0000 0.0000 0.0000
Ca -0.0064 0.0000 2.8611
Ag 5.2803 0.0000 0.8083
Ge 2.6371 0.0000 1.2222
```

What are the relative energies? In meV/atom: A 9; B 0.

--- A ---
This record from Alexandria describes crystalline Ca3AgH at its relaxed geometry. The functional is PBE-GGA.

Geometry as extended XYZ:
```
5
Lattice="4.9589 0.0000 0.0000 0.0000 4.9589 0.0000 0.0000 0.0000 4.9589" Properties=species:S:1:pos:R:3 pbc="T T T"
Ca 0.0000 0.0000 2.4795
Ca 0.0000 2.4795 0.0000
Ca 2.4795 0.0000 0.0000
Ag 2.4795 2.4795 2.4795
H 0.0000 0.0000 0.0000
```

--- B ---
This record from Alexandria describes crystalline Ca3AgH at its relaxed geometry. The functional is PBE-GGA.

Geometry as extended XYZ:
```
10
Lattice="2.0189 -6.6532 0.0000 2.0189 6.6532 0.0000 0.0000 0.0000 9.8482" Properties=species:S:1:pos:R:3 pbc="T T T"
Ca 2.0189 5.9577 7.3862
Ca 2.0189 1.9097 5.5857
Ca 2.0189 1.9097 9.1867
Ca 2.0189 -1.9097 0.6616
Ca 2.0189 -1.9097 4.2626
Ca 2.0189 -5.9577 2.4621
Ag 2.0189 3.1273 2.4621
Ag 2.0189 -3.1273 7.3862
H 2.0189 0.4701 7.3862
H 2.0189 -0.4701 2.4621
```

--- C ---
This record from Alexandria describes crystalline Ca3AgH at its relaxed geometry. The functional is PBE-GGA.

Geometry as extended XYZ:
```
5
Lattice="5.7519 0.0000 0.0000 0.0000 5.7519 0.0000 0.0000 0.0000 5.7519" Properties=species:S:1:pos:R:3 pbc="T T T"
Ca 0.0000 0.0000 2.8759
Ca 0.0000 2.8759 0.0000
Ca 2.8759 0.0000 0.0000
Ag 0.0000 0.0000 0.0000
H 2.8759 2.8759 2.8759
```

What are the relative energies? In meV/atom: A 86; B 0; C 643.

--- A ---
This record from Alexandria describes crystalline Ca2AgH2 at its relaxed geometry. The functional is PBE-GGA.

Geometry as extended XYZ:
```
10
Lattice="7.1582 0.0000 0.0000 0.0000 7.1582 0.0000 0.0000 0.0000 3.2682" Properties=species:S:1:pos:R:3 pbc="T T T"
Ca 1.2395 2.3396 0.0000
Ca 2.3396 5.9187 0.0000
Ca 4.8186 1.2395 0.0000
Ca 5.9187 4.8186 0.0000
Ag 0.0000 0.0000 1.6341
Ag 3.5791 3.5791 1.6341
H 0.8835 4.4626 1.6341
H 2.6956 0.8835 1.6341
H 4.4626 6.2748 1.6341
H 6.2748 2.6956 1.6341
```

--- B ---
This record from Alexandria describes crystalline Ca2AgH2 at its relaxed geometry. The functional is PBE-GGA.

Geometry as extended XYZ:
```
5
Lattice="-1.8964 1.8964 6.3164 1.8964 -1.8964 6.3164 1.8964 1.8964 -6.3164" Properties=species:S:1:pos:R:3 pbc="T T T"
Ca 0.0000 0.0000 1.8850
Ca 0.0000 0.0000 10.7477
Ag 0.0000 0.0000 6.3164
H 1.8964 0.0000 3.1582
H 0.0000 1.8964 3.1582
```

What are the relative energies? In meV/atom: A 260; B 0.